Record 1
Computed, not measured: LiPRu2 after structural relaxation at the GGA-PBE level of DFT.

abc: 2.981 2.981 5.533
angles: 90.00 90.00 90.00
Space group P4mm (No. 99)
One atom of each set of equivalent atoms:
Li 0.000 0.000 0.000
P 0.500 0.500 0.221
Ru 0.000 0.000 0.453
Ru 0.500 0.500 0.775

Summary:
DOS(E_F)   0.621 states/eV/atom
Energy of formation from the pure elements   -0.132 eV per atom

***

Record 2
Computed, not measured: LiPRu2 after structural relaxation at the GGA-PBE level of DFT.

abc: 3.623 3.623 7.676
angles: 90.00 90.00 90.00
Space group I-4m2 (No. 119)
One atom of each set of equivalent atoms:
Li 0.000 0.000 0.000
P 0.000 0.500 0.750
Ru 0.000 0.000 0.500
Ru 0.000 0.500 0.250

Summary:
DOS(E_F)   1.096 states/eV/atom
Energy of formation from the pure elements   -0.057 eV per atom

***

Record 3
Computed, not measured: LiPRu2 after structural relaxation at the GGA-PBE level of DFT.

abc: 2.917 3.968 8.760
angles: 90.00 90.00 90.00
Space group Imm2 (No. 44)
One atom of each set of equivalent atoms:
Li 0.000 0.000 0.000
P 0.000 0.500 0.247
Ru 0.000 0.000 0.535
Ru 0.000 0.500 0.775

Summary:
DOS(E_F)   0.610 states/eV/atom
Energy of formation from the pure elements   -0.151 eV per atom

***

Record 4
Computed, not measured: LiPRu2 after structural relaxation at the GGA-PBE level of DFT.

abc: 9.588 2.856 4.461
angles: 90.00 117.27 90.00
Space group C2/m (No. 12)
One atom of each set of equivalent atoms:
Li 0.000 0.000 0.000
P 0.000 0.500 0.500
Ru 0.210 0.000 0.710

Summary:
DOS(E_F)   0.662 states/eV/atom
Energy of formation from the pure elements   -0.221 eV per atom

***

Record 5
Computed, not measured: LiPRu2 after structural relaxation at the GGA-PBE level of DFT.

abc: 5.903 5.903 5.903
angles: 90.00 90.00 90.00
Space group F-43m (No. 216)
One atom of each set of equivalent atoms:
Li 0.000 0.000 0.000
P 0.250 0.250 0.250
Ru 0.000 0.000 0.500
Ru 0.250 0.250 0.750

Summary:
DOS(E_F)   1.112 states/eV/atom
Energy of formation from the pure elements   -0.011 eV per atom

***

Record 6
Computed, not measured: LiPRu2 after structural relaxation at the GGA-PBE level of DFT.

abc: 2.826 4.156 4.710
angles: 90.00 107.27 90.00
Space group Pm (No. 6)
One atom of each set of equivalent atoms:
Li 0.000 0.000 0.000
P 0.603 0.500 0.211
Ru 0.337 0.500 0.683
Ru 0.733 0.000 0.470

Summary:
DOS(E_F)   0.960 states/eV/atom
Energy of formation from the pure elements   -0.157 eV per atom